Density functional theory data (GGA-PBE) for Li2BeSbBr after structural relaxation.

Structure (POSCAR):
```
Li2BeSbBr
1.0
-4.171 1.101 3.476
0.010 -3.884 1.242
3.646 1.279 3.970
Li Be Br Sb
2 1 1 1
Direct
0.500 0.000 0.000
0.000 0.000 0.500
0.000 0.000 0.000
0.000 0.500 0.000
0.500 0.500 0.500
```

Computed properties:
- formation energy from raw total energies (eV per formula unit) = 1.9
- total magnetic moment (μB per cell) = 0.00

Density functional theory data (GGA-PBE) for LiScBe2Br after structural relaxation.

Structure (POSCAR):
```
LiScBe2Br
1.0
4.182 0.000 0.000
0.000 5.178 0.000
0.000 0.000 4.182
Sc Be Li Br
1 2 1 1
Direct
0.000 0.500 0.000
0.500 0.000 0.000
0.000 0.000 0.500
0.000 0.000 0.000
0.500 0.500 0.500
```

Computed properties:
- formation energy from raw total energies (eV per formula unit) = 3.4
- total magnetic moment (μB per cell) = 0.00

Density functional theory data (GGA-PBE) for LiBeSe2Br after structural relaxation.

Structure (POSCAR):
```
LiBeSe2Br
1.0
4.287 0.000 0.000
0.000 4.287 0.000
0.000 0.000 7.382
Se Be Li Br
2 1 1 1
Direct
0.000 0.500 0.000
0.500 0.000 0.000
0.000 0.000 0.000
0.500 0.500 0.500
0.000 0.000 0.500
```

Computed properties:
- formation energy from raw total energies (eV per formula unit) = -1.7
- total magnetic moment (μB per cell) = 0.00
- E above lowest polymorph (eV/atom) = 0.000

Density functional theory data (GGA-PBE) for LiBeSeBr2 after structural relaxation.

Structure (POSCAR):
```
LiBeSeBr2
1.0
-3.173 -3.316 1.538
3.621 -2.576 1.918
-0.506 2.460 4.259
Br Se Be Li
2 1 1 1
Direct
0.000 0.500 0.000
0.500 0.000 0.000
0.000 0.000 0.500
0.500 0.500 0.500
0.000 0.000 0.000
```

Computed properties:
- formation energy from raw total energies (eV per formula unit) = 1.8
- total magnetic moment (μB per cell) = 0.00
- E above lowest polymorph (eV/atom) = 0.793

Density functional theory data (GGA-PBE) for LiBeSe2Br after structural relaxation.

Structure (POSCAR):
```
LiBeSe2Br
1.0
-2.967 2.036 2.386
-1.279 -3.784 1.638
4.385 0.641 4.906
Se Br Li Be
2 1 1 1
Direct
0.000 0.500 0.000
0.500 0.000 0.000
0.000 0.000 0.500
0.000 0.000 0.000
0.500 0.500 0.500
```

Computed properties:
- formation energy from raw total energies (eV per formula unit) = 2.6
- total magnetic moment (μB per cell) = 0.00
- E above lowest polymorph (eV/atom) = 0.857

Density functional theory data (GGA-PBE) for LiBeSeBr2 after structural relaxation.

Structure (POSCAR):
```
LiBeSeBr2
1.0
-4.127 -2.948 -0.571
2.095 -2.131 -4.138
1.882 -3.132 2.566
Br Li Be Se
2 1 1 1
Direct
0.500 0.000 0.000
0.000 0.500 0.000
0.500 0.500 0.500
0.000 0.000 0.000
0.000 0.000 0.500
```

Computed properties:
- formation energy from raw total energies (eV per formula unit) = -2.2
- total magnetic moment (μB per cell) = 0.00
- E above lowest polymorph (eV/atom) = 0.000

Number 1: E_tot -2.294 eV per atom. Number 2: E_tot -2.792 eV per atom. Number 3: E_tot -3.198 eV per atom. Number 4: E_tot -2.138 eV per atom. Number 5: E_tot -2.341 eV per atom. Number 6: E_tot -2.930 eV per atom.